A) DFT (PBE) results for a relaxed TaVNi crystal.

Summary:
**D(E_F)**: 1.684 states/eV/atom
**Magnetization**: 0.35 μB/cell

Unit cell a=3.135 b=3.135 c=8.768 alpha=90.00 beta=90.00 gamma=90.00
Positions (direct):
Ta1 0.000 0.000 0.000
Ta2 0.500 0.500 0.500
V1 0.000 0.000 0.325
V2 0.500 0.500 0.825
Ni1 0.000 0.000 0.672
Ni2 0.500 0.500 0.172

B) DFT (PBE) results for a relaxed TaVNi crystal.

Summary:
**D(E_F)**: 0.897 states/eV/atom
**Magnetization**: 0.00 μB/cell

Unit cell a=4.314 b=4.314 c=5.271 alpha=90.00 beta=90.00 gamma=120.00
Positions (direct):
Ta1 0.000 0.000 0.000
Ta2 0.333 0.667 0.625
V1 0.000 0.000 0.500
V2 0.667 0.333 0.809
Ni1 0.333 0.667 0.128
Ni2 0.667 0.333 0.310

C) DFT (PBE) results for a relaxed TaVNi crystal.

Summary:
**D(E_F)**: 1.210 states/eV/atom
**Magnetization**: 0.00 μB/cell

Unit cell a=4.733 b=6.063 c=6.012 alpha=90.00 beta=90.00 gamma=90.00
Positions (direct):
Ta1 0.250 0.154 0.000
Ta2 0.250 0.346 0.500
Ta3 0.750 0.654 0.500
Ta4 0.750 0.846 0.000
V1 0.250 0.661 0.189
V2 0.250 0.839 0.689
V3 0.750 0.161 0.689
V4 0.750 0.339 0.189
Ni1 0.000 0.000 0.352
Ni2 0.000 0.500 0.852
Ni3 0.500 0.000 0.352
Ni4 0.500 0.500 0.852

D) DFT (PBE) results for a relaxed TaVNi crystal.

Summary:
**D(E_F)**: 1.410 states/eV/atom
**Magnetization**: 0.00 μB/cell

Unit cell a=4.400 b=4.400 c=2.587 alpha=90.00 beta=90.00 gamma=120.00
Positions (direct):
Ta1 0.000 0.000 0.000
V1 0.667 0.333 0.494
Ni1 0.333 0.667 0.508

In eV/atom, relative to the most stable structure: A) 0.122; B) 0.078; C) 0.000; D) 0.270.